VASP calculation (PBE) on a geometry-optimized KSb2RuI structure.

extended XYZ file:
```
5
Lattice="5.906 0.000 0.000 0.000 5.906 0.000 0.000 0.000 5.959" Properties=species:S:1:pos:R:3 pbc="T T T"
K 0.000 0.000 0.000
Sb 0.000 2.953 0.000
Sb 2.953 0.000 0.000
Ru 2.953 2.953 2.980
I 0.000 0.000 2.980
```

Results
Relative energy among the computed polymorphs in meV per atom: 1832.2
Formation energy without anion corrections in meV/atom: 1775
DOS at the Fermi energy in states/eV/cell: 9.099



VASP calculation (PBE) on a geometry-optimized NaPaBO5 structure.

extended XYZ file:
```
16
Lattice="3.486 -4.347 0.000 3.486 4.347 0.000 -3.395 0.000 7.188" Properties=species:S:1:pos:R:3 pbc="T T T"
Na 0.940 2.995 5.391
Na 2.637 -2.995 1.797
Pa 3.486 0.000 0.000
Pa 1.788 0.000 3.594
B 2.637 2.799 1.797
B 0.940 -2.799 5.391
O -1.808 0.664 6.324
O 1.706 1.935 2.578
O -0.111 -0.664 2.730
O 3.568 1.935 1.016
O 0.940 0.755 5.391
O 2.637 -0.755 1.797
O 0.008 -1.935 6.173
O 3.688 0.664 4.458
O 1.871 -1.935 4.610
O 5.385 -0.664 0.864
```

Results
Formation energy without anion corrections in meV/atom: -2535
DOS at the Fermi energy in states/eV/cell: 8.756



VASP calculation (PBE) on a geometry-optimized SrAcTb2Se4 structure.

extended XYZ file:
```
8
Lattice="7.383 0.000 0.000 0.000 4.226 0.000 -2.414 0.000 7.035" Properties=species:S:1:pos:R:3 pbc="T T T"
Sr 0.000 0.000 0.000
Ac 3.691 2.113 0.000
Tb -1.207 2.113 3.518
Tb 2.485 0.000 3.518
Se 0.004 0.000 5.114
Se 1.221 2.113 1.905
Se 3.749 2.113 5.130
Se 4.966 0.000 1.921
```

Results
Formation energy without anion corrections in meV/atom: -1843
DOS at the Fermi energy in states/eV/cell: 3.326



VASP calculation (PBE) on a geometry-optimized KNdAgSe2 structure.

extended XYZ file:
```
10
Lattice="7.711 0.000 0.000 0.000 5.065 0.000 -1.274 0.000 8.250" Properties=species:S:1:pos:R:3 pbc="T T T"
K -0.319 0.639 2.062
K -0.956 4.426 6.187
Nd 2.900 2.496 6.187
Nd 3.537 2.569 2.062
Ag 3.856 0.000 0.000
Ag 3.219 0.000 4.125
Se 0.676 1.842 7.972
Se 1.313 3.224 3.847
Se 5.124 1.842 4.403
Se 5.761 3.224 0.278
```

Results
Formation energy without anion corrections in meV/atom: -1034
DOS at the Fermi energy in states/eV/cell: 2.784